{"formula": "Y6Sn2BiTe3", "functional": "PBE-GGA", "state": "optimized geometry", "lattice": [[-3.2728, 2.3363, 1.8150], [2.0318, -3.3168, 7.9330], [7.0275, 6.7715, -1.4061]], "species": ["Y", "Y", "Y", "Y", "Y", "Y", "Sn", "Sn", "Bi", "Te", "Te", "Te"], "frac_coords": [[0.3329, 0.9044, 0.6657], [0.6697, 0.5762, 0.3393], [0.6671, 0.0956, 0.3343], [0.0052, 0.2510, 0.0104], [0.9948, 0.7490, 0.9896], [0.3303, 0.4238, 0.6607], [0.8328, 0.6659, 0.6656], [0.1672, 0.3341, 0.3344], [0.5000, 0.0000, 0.0000], [0.5000, 0.5000, 0.0000], [0.8354, 0.1659, 0.6707], [0.1646, 0.8341, 0.3293]], "dos_ef_per_ev_cell": 2.21, "formation_energy_uncorrected_ev_per_atom": -1.1094, "total_energy_ev_per_cell": -73.4, "magmom_total_mub_per_fu": 0.00, "spacegroup": "C2/m (12)"}


{"formula": "Th7Sn2Bi2", "functional": "PBE-GGA", "state": "optimized geometry", "lattice": [[-3.5638, -6.0331, 0.8772], [6.3795, -3.2424, 3.6190], [-1.0892, 4.1323, 5.6220]], "species": ["Th", "Th", "Th", "Th", "Th", "Th", "Th", "Sn", "Sn", "Bi", "Bi"], "frac_coords": [[0.9998, 0.2993, 0.5003], [0.5003, 0.7007, 0.9998], [0.0002, 0.7007, 0.4997], [0.4997, 0.2993, 0.0002], [0.0000, 0.0000, 0.0000], [0.5002, 0.7330, 0.4998], [0.4998, 0.2670, 0.5002], [0.8247, 0.5000, 0.8247], [0.1753, 0.5000, 0.1753], [0.7163, 0.0000, 0.2837], [0.2837, 0.0000, 0.7163]], "dos_ef_per_ev_cell": 15.89, "total_energy_ev_per_cell": -66.8, "magmom_total_mub_per_fu": 0.01, "delta_e_f_ev_per_atom": 0.08, "spacegroup": "Cmmm (65)"}


{"formula": "Th3SnBi2", "functional": "PBE-GGA", "state": "optimized geometry", "lattice": [[4.3727, 0.0000, -1.3236], [-0.8009, 5.8447, -2.6459], [0.0181, 0.0229, 7.9445]], "species": ["Th", "Th", "Th", "Sn", "Bi", "Bi"], "frac_coords": [[0.8404, 0.3404, 0.1807], [0.1596, 0.6596, 0.8193], [0.5000, 0.0000, 0.5000], [0.5000, 0.5000, 0.5000], [0.8307, 0.8307, 0.1615], [0.1693, 0.1693, 0.8385]], "dos_ef_per_ev_cell": 3.63, "total_energy_ev_per_cell": -37.4, "magmom_total_mub_per_fu": 0.00, "delta_e_f_ev_per_atom": -0.56, "spacegroup": "Immm (71)"}


{"formula": "ThSnBi", "functional": "PBE-GGA", "state": "optimized geometry", "lattice": [[4.0992, 0.0000, 0.0000], [0.0000, 4.0992, 0.0000], [-2.0496, -2.0496, 5.2753]], "species": ["Bi", "Th", "Sn"], "frac_coords": [[0.2844, 0.2844, 0.5687], [0.6149, 0.6149, 0.2299], [0.9507, 0.9507, 0.9014]], "dos_ef_per_ev_cell": 3.07, "total_energy_ev_per_cell": -16.3, "relative_energy_ev_per_fu": 0.56, "magmom_total_mub_per_fu": 0.00, "delta_e_f_ev_per_atom": -0.34, "spacegroup": "I4mm (107)"}


{"formula": "ThSnBi", "functional": "PBE-GGA", "state": "optimized geometry", "lattice": [[4.5401, 0.0000, 0.0000], [0.0000, 4.4597, -1.1613], [0.0000, -0.0684, 8.8808]], "species": ["Th", "Th", "Sn", "Sn", "Bi", "Bi"], "frac_coords": [[0.2500, 0.0998, 0.1996], [0.7500, 0.9002, 0.8004], [0.2500, 0.4390, 0.8780], [0.7500, 0.5610, 0.1220], [0.2500, 0.7501, 0.5002], [0.7500, 0.2499, 0.4998]], "dos_ef_per_ev_cell": 3.26, "total_energy_ev_per_cell": -33.7, "relative_energy_ev_per_fu": 0.00, "magmom_total_mub_per_fu": 0.00, "delta_e_f_ev_per_atom": -0.52, "spacegroup": "Cmcm (63)"}


{"formula": "Th2SnBi4", "functional": "PBE-GGA", "state": "optimized geometry", "lattice": [[-0.2600, 1.8557, -4.4469], [-5.4670, -3.9877, -1.3445], [-3.2783, 5.5317, 2.5001]], "species": ["Th", "Th", "Sn", "Bi", "Bi", "Bi", "Bi"], "frac_coords": [[0.0000, 0.7123, 0.2877], [0.0000, 0.2877, 0.7123], [0.5000, 0.5000, 0.5000], [0.0000, 0.7936, 0.7936], [0.0000, 0.2064, 0.2064], [0.5000, 0.0000, 0.5000], [0.5000, 0.5000, 0.0000]], "dos_ef_per_ev_cell": 4.02, "total_energy_ev_per_cell": -37.1, "magmom_total_mub_per_fu": 0.00, "delta_e_f_ev_per_atom": -0.39, "spacegroup": "Cmmm (65)"}